Compound: Y2ErGa6
Source: Alexandria via LeMat-Bulk
Functional: PBE
Structure: optimized geometry

POSCAR file:
```
Y2ErGa6
1.0
-2.146 3.474 6.711
2.146 -3.474 6.711
2.146 3.474 -6.711
Y Er Ga
2 1 6
direct
0.126 0.126 0.000
0.874 0.874 0.000
0.500 0.000 0.500
0.124 0.316 0.808
0.192 0.500 0.692
0.492 0.684 0.808
0.508 0.316 0.192
0.808 0.500 0.308
0.876 0.684 0.192
```

Results
- raw total energy (eV/atom) = -4.42
- space-group type = Immm
- V (Å³ per atom) = 22.2

---

Compound: BeCdP
Source: Alexandria via LeMat-Bulk
Functional: PBE
Structure: optimized geometry

POSCAR file:
```
BeCdP
1.0
2.927 0.000 0.000
0.000 2.927 0.000
0.000 0.000 11.548
Be Cd P
2 2 2
direct
0.000 0.000 0.000
0.500 0.500 0.500
0.000 0.000 0.680
0.500 0.500 0.180
0.000 0.000 0.412
0.500 0.500 0.912
```

Results
- raw total energy (eV/atom) = -2.94
- space-group type = I4mm
- V (Å³ per atom) = 16.5

---

Compound: TbPr2Si2
Source: Alexandria via LeMat-Bulk
Functional: PBE
Structure: optimized geometry

POSCAR file:
```
TbPr2Si2
1.0
4.394 0.000 0.000
0.000 6.382 0.000
0.000 0.000 9.311
Tb Pr Si
2 4 4
direct
0.000 0.000 0.000
0.500 0.500 0.500
0.000 0.500 0.205
0.000 0.500 0.795
0.500 0.000 0.295
0.500 0.000 0.705
0.000 0.194 0.500
0.000 0.806 0.500
0.500 0.306 0.000
0.500 0.694 0.000
```

Results
- space-group type = Immm
- raw formation energy (eV per atom) = -0.625
- V (Å³ per atom) = 26.1

---

Compound: Sr2InAgH
Source: Alexandria via LeMat-Bulk
Functional: PBE
Structure: optimized geometry

POSCAR file:
```
Sr2InAgH
1.0
5.362 0.000 0.000
0.000 5.362 0.000
0.000 0.000 4.375
Sr In Ag H
2 1 1 1
direct
0.000 0.500 0.000
0.500 0.000 0.000
0.000 0.000 0.500
0.500 0.500 0.500
0.000 0.000 0.000
```

Results
- raw total energy (eV/atom) = -2.70
- space-group type = P4/mmm
- V (Å³ per atom) = 25.2

---

Compound: Ni3BPb
Source: Alexandria via LeMat-Bulk
Functional: PBE
Structure: optimized geometry

POSCAR file:
```
Ni3BPb
1.0
3.984 0.000 0.000
0.000 3.984 0.000
0.000 0.000 3.984
Ni B Pb
3 1 1
direct
0.000 0.000 0.500
0.000 0.500 0.000
0.500 0.000 0.000
0.000 0.000 0.000
0.500 0.500 0.500
```

Results
- raw total energy (eV/atom) = -5.53
- space-group type = Pm-3m
- V (Å³ per atom) = 12.6

---

Compound: BeTl3Zn
Source: Alexandria via LeMat-Bulk
Functional: PBE
Structure: optimized geometry

POSCAR file:
```
BeTl3Zn
1.0
5.071 0.000 0.000
0.000 5.071 0.000
0.000 0.000 5.071
Be Tl Zn
1 3 1
direct
0.000 0.000 0.000
0.000 0.000 0.500
0.000 0.500 0.000
0.500 0.000 0.000
0.500 0.500 0.500
```

Results
- raw total energy (eV/atom) = -2.04
- space-group type = Pm-3m
- V (Å³ per atom) = 26.1

---

Compound: HfMnIn2Bi
Source: Alexandria via LeMat-Bulk
Functional: PBE
Structure: optimized geometry

POSCAR file:
```
HfMnIn2Bi
1.0
5.754 0.000 0.000
0.000 5.754 0.000
0.000 0.000 5.531
Hf Mn In Bi
1 1 2 1
direct
0.000 0.000 0.000
0.500 0.500 0.000
0.000 0.500 0.500
0.500 0.000 0.500
0.000 0.000 0.500
```

Results
- raw total energy (eV/atom) = -4.35
- space-group type = P4/mmm
- V (Å³ per atom) = 36.6

---

Compound: TbDy2Ni9
Source: Alexandria via LeMat-Bulk
Functional: PBE
Structure: optimized geometry

POSCAR file:
```
TbDy2Ni9
1.0
2.482 1.433 8.113
-2.482 1.433 8.113
0.000 -2.867 8.113
Tb Dy Ni
1 2 9
direct
0.000 0.000 0.000
0.139 0.139 0.139
0.861 0.861 0.861
0.081 0.583 0.583
0.333 0.333 0.333
0.417 0.417 0.919
0.417 0.919 0.417
0.500 0.500 0.500
0.583 0.081 0.583
0.583 0.583 0.081
0.667 0.667 0.667
0.919 0.417 0.417
```

Results
- raw total energy (eV/atom) = -5.90
- space-group type = R-3m
- V (Å³ per atom) = 14.4

---

Compound: Tm4CdTe2
Source: Alexandria via LeMat-Bulk
Functional: PBE
Structure: optimized geometry

POSCAR file:
```
Tm4CdTe2
1.0
0.000 6.682 6.700
4.646 0.000 6.700
4.646 6.682 0.000
Tm Cd Te
8 2 4
direct
0.121 0.321 0.322
0.264 0.678 0.679
0.321 0.121 0.736
0.322 0.736 0.121
0.678 0.264 0.879
0.679 0.879 0.264
0.736 0.322 0.321
0.879 0.679 0.678
0.375 0.375 0.375
0.625 0.625 0.625
0.000 0.000 0.000
0.000 0.000 0.500
0.000 0.500 0.000
0.500 0.000 0.000
```

Results
- space-group type = Fddd
- raw formation energy (eV per atom) = -0.642
- V (Å³ per atom) = 29.7

---

Compound: LaHfCu2
Source: Alexandria via LeMat-Bulk
Functional: PBE
Structure: optimized geometry

POSCAR file:
```
LaHfCu2
1.0
3.367 0.000 0.000
0.000 3.367 0.000
0.000 0.000 7.168
La Hf Cu
1 1 2
direct
0.000 0.000 0.000
0.000 0.000 0.500
0.500 0.500 0.309
0.500 0.500 0.691
```

Results
- raw total energy (eV/atom) = -5.87
- space-group type = P4/mmm
- V (Å³ per atom) = 20.3

---

Compound: K2CuBr
Source: Alexandria via LeMat-Bulk
Functional: PBE
Structure: optimized geometry

POSCAR file:
```
K2CuBr
1.0
5.299 0.000 0.000
0.000 4.241 0.000
0.000 0.000 12.613
K Cu Br
4 2 2
direct
0.000 0.000 0.000
0.000 0.500 0.500
0.500 0.000 0.242
0.500 0.500 0.742
0.500 0.000 0.506
0.500 0.500 0.006
0.000 0.000 0.733
0.000 0.500 0.233
```

Results
- space-group type = Amm2
- raw formation energy (eV per atom) = -0.565
- V (Å³ per atom) = 35.4

---

Compound: FeAuSN2
Source: Alexandria via LeMat-Bulk
Functional: PBE
Structure: optimized geometry

POSCAR file:
```
FeAuSN2
1.0
3.753 0.000 0.000
0.000 3.753 0.000
0.000 0.000 7.482
Fe Au S N
1 1 1 2
direct
0.000 0.000 0.000
0.500 0.500 0.500
0.500 0.500 0.000
0.000 0.500 0.500
0.500 0.000 0.500
```

Results
- space-group type = P4/mmm
- raw formation energy (eV per atom) = 1.876
- V (Å³ per atom) = 21.1

---

> What is the formula in the eleventh record?

K2CuBr